1.
The following is a DFT calculation (PBE) of crystalline Er5Ir2Pb2 at its relaxed geometry.

Unit cell a=7.249 b=8.256 c=8.836 alpha=117.85 beta=90.00 gamma=90.00
Element x y z (fractional)
Pb 0.000 0.215 0.431
Er 0.154 0.441 0.232
Er 0.346 0.941 0.232
Er 0.000 0.000 0.000
Ir 0.138 0.629 0.000
Pb 0.500 0.715 0.431
Er 0.846 0.559 0.768
Er 0.846 0.791 0.232
Er 0.654 0.291 0.232
Er 0.654 0.059 0.768
Ir 0.638 0.871 0.000
Er 0.346 0.709 0.768
Pb 0.000 0.785 0.569
Er 0.154 0.209 0.768
Ir 0.362 0.129 0.000
Er 0.500 0.500 0.000
Ir 0.862 0.371 0.000
Pb 0.500 0.285 0.569

Output
final energy = -6.0046 eV per atom
crystal system = orthorhombic
magnetization = 0.000 μB/f.u.

2.
The following is a DFT calculation (PBE) of crystalline LuTaNiIr at its relaxed geometry.

Unit cell a=4.574 b=4.574 c=4.574 alpha=60.00 beta=60.00 gamma=60.00
Element x y z (fractional)
Ta 0.500 0.500 0.500
Ir 0.750 0.750 0.750
Ni 0.250 0.250 0.250
Lu 0.000 0.000 0.000

Output
final energy = -8.1791 eV per atom
crystal system = cubic
magnetization = 0.001 μB/f.u.

3.
The following is a DFT calculation (PBE) of crystalline Tm2TeAs at its relaxed geometry.

Unit cell a=4.144 b=4.144 c=7.378 alpha=90.03 beta=106.28 gamma=120.00
Element x y z (fractional)
As 0.000 0.000 0.000
Tm 0.523 0.261 0.784
Te 0.000 0.500 0.500
Tm 0.477 0.739 0.216

Output
final energy = -5.6099 eV per atom
formation energy from raw total energies = -1.4264 eV/atom
crystal system = trigonal
offset from the most stable computed form = 27 meV per atom
magnetization = 0.000 μB/f.u.

4.
The following is a DFT calculation (PBE) of crystalline PuAlSn at its relaxed geometry.

Unit cell a=3.359 b=4.872 c=4.872 alpha=120.00 beta=90.00 gamma=90.00
Element x y z (fractional)
Pu 0.667 0.667 0.333
Al 0.167 0.000 0.000
Sn 0.166 0.333 0.667

Output
final energy = -7.6309 eV per atom
crystal system = hexagonal
magnetization = 5.687 μB/f.u.

5.
The following is a DFT calculation (PBE) of crystalline Sc6P5Se at its relaxed geometry.

Unit cell a=6.537 b=6.539 c=6.532 alpha=59.97 beta=80.39 gamma=70.52
Element x y z (fractional)
P 0.500 0.836 0.327
P 0.000 0.667 0.666
Sc 0.256 0.571 0.344
P 0.000 0.333 0.334
P 0.500 0.164 0.673
Sc 0.255 0.258 0.000
Sc 0.744 0.085 0.344
P 0.500 0.500 0.000
Se 0.000 0.000 0.000
Sc 0.744 0.429 0.656
Sc 0.745 0.742 0.000
Sc 0.256 0.915 0.656

Output
final energy = -7.2707 eV per atom
formation energy from raw total energies = -1.5605 eV/atom
crystal system = monoclinic
magnetization = 0.000 μB/f.u.

6.
The following is a DFT calculation (PBE) of crystalline PO2F2 at its relaxed geometry.

Unit cell a=4.482 b=4.482 c=4.883 alpha=90.00 beta=90.00 gamma=90.00
Element x y z (fractional)
P 0.500 0.500 0.000
O 0.690 0.190 0.000
O 0.810 0.690 0.000
O 0.190 0.310 0.000
F 0.154 0.654 0.500
F 0.346 0.154 0.500
P 0.000 0.000 0.000
F 0.654 0.846 0.500
O 0.310 0.810 0.000
F 0.846 0.346 0.500

Output
final energy = -4.4382 eV per atom
formation energy from raw total energies = -0.6244 eV/atom
crystal system = tetragonal
offset from the most stable computed form = 277 meV per atom
magnetization = 1.067 μB/f.u.

Question: The lowest final energy belongs to which entry?
Answer: LuTaNiIr